Crystalline MgSc3Hg at its relaxed geometry. Source: Alexandria via LeMat-Bulk, functional GGA-PBE.

Output
- ΔE to the lowest computed polymorph: 0 meV per atom
- E_form: -0.19 eV/atom
- DFT total energy: -4.37 eV/atom

abc: 4.5627 21.7291 4.5588
angles: 90.00 90.00 90.00
Space group Cmcm (No. 63)
Asymmetric unit:
Mg: 0.0000 0.1513 0.2500 (multiplicity 4)
Sc: 0.0000 0.0512 0.7500 (multiplicity 4)
Sc: 0.0000 0.2494 0.7500 (multiplicity 4)
Sc: 0.0000 0.4447 0.7500 (multiplicity 4)
Hg: 0.0000 0.3458 0.2500 (multiplicity 4)